# 1
# LaTi2Pd

LaTi2Pd after structural relaxation (PBE-GGA, Alexandria).

Structure (POSCAR):
```
LaTi2Pd
1.0
0.0000 3.3396 3.3396
3.3396 0.0000 3.3396
3.3396 3.3396 0.0000
La Ti Pd
1 2 1
Direct
0.0000 0.0000 0.0000
0.2500 0.2500 0.2500
0.7500 0.7500 0.7500
0.5000 0.5000 0.5000
```

***

# 2
# La3Ti5Pd12

La3Ti5Pd12 after structural relaxation (PBE-GGA, Alexandria).

Structure (POSCAR):
```
La3Ti5Pd12
1.0
-7.7786 7.7786 7.7786
7.7786 -7.7786 7.7786
7.7786 7.7786 -7.7786
La Ti Pd
12 20 48
Direct
0.1250 0.2500 0.3750
0.1250 0.3750 0.7500
0.2500 0.3750 0.1250
0.2500 0.8750 0.6250
0.3750 0.1250 0.2500
0.3750 0.7500 0.1250
0.6250 0.2500 0.8750
0.6250 0.8750 0.7500
0.7500 0.1250 0.3750
0.7500 0.6250 0.8750
0.8750 0.6250 0.2500
0.8750 0.7500 0.6250
0.0000 0.0000 0.0000
0.0000 0.0000 0.5000
0.0000 0.5000 0.0000
0.0000 0.5000 0.5000
0.1250 0.7500 0.8750
0.1250 0.8750 0.2500
0.2500 0.1250 0.8750
0.2500 0.6250 0.3750
0.3750 0.2500 0.6250
0.3750 0.6250 0.7500
0.5000 0.0000 0.0000
0.5000 0.0000 0.5000
0.5000 0.5000 0.0000
0.5000 0.5000 0.5000
0.6250 0.3750 0.2500
0.6250 0.7500 0.3750
0.7500 0.3750 0.6250
0.7500 0.8750 0.1250
0.8750 0.1250 0.7500
0.8750 0.2500 0.1250
0.0085 0.1954 0.0667
0.0085 0.3130 0.9417
0.0583 0.5667 0.3713
0.0583 0.9915 0.6870
0.0667 0.0085 0.1954
0.0667 0.5583 0.8713
0.1287 0.6954 0.6870
0.1287 0.9333 0.4417
0.1870 0.1954 0.6287
0.1870 0.4915 0.5583
0.1954 0.0667 0.0085
0.1954 0.6287 0.1870
0.3046 0.3130 0.8713
0.3046 0.4915 0.4333
0.3130 0.8713 0.3046
0.3130 0.9417 0.0085
0.3713 0.0583 0.5667
0.3713 0.8130 0.8046
0.4333 0.3046 0.4915
0.4333 0.6287 0.9417
0.4417 0.1287 0.9333
0.4417 0.8130 0.5085
0.4915 0.4333 0.3046
0.4915 0.5583 0.1870
0.5085 0.4417 0.8130
0.5085 0.5667 0.6954
0.5583 0.1870 0.4915
0.5583 0.8713 0.0667
0.5667 0.3713 0.0583
0.5667 0.6954 0.5085
0.6287 0.1870 0.1954
0.6287 0.9417 0.4333
0.6870 0.0583 0.9915
0.6870 0.1287 0.6954
0.6954 0.5085 0.5667
0.6954 0.6870 0.1287
0.8046 0.3713 0.8130
0.8046 0.9333 0.9915
0.8130 0.5085 0.4417
0.8130 0.8046 0.3713
0.8713 0.0667 0.5583
0.8713 0.3046 0.3130
0.9333 0.4417 0.1287
0.9333 0.9915 0.8046
0.9417 0.0085 0.3130
0.9417 0.4333 0.6287
0.9915 0.6870 0.0583
0.9915 0.8046 0.9333
```

***

# 3
# La2Ti2Pd

La2Ti2Pd after structural relaxation (PBE-GGA, Alexandria).

Structure (POSCAR):
```
La2Ti2Pd
1.0
-1.8414 1.8414 9.3846
1.8414 -1.8414 9.3846
1.8414 1.8414 -9.3846
La Ti Pd
2 2 1
Direct
0.0941 0.0941 0.0000
0.9059 0.9059 0.0000
0.2500 0.7500 0.5000
0.7500 0.2500 0.5000
0.5000 0.5000 0.0000
```

***

# 4
# LaTiTl2Pd

LaTiTl2Pd after structural relaxation (PBE-GGA, Alexandria).

Structure (POSCAR):
```
LaTiTl2Pd
1.0
5.3498 0.0000 0.0000
0.0000 5.3498 0.0000
0.0000 0.0000 5.1628
La Ti Tl Pd
1 1 2 1
Direct
0.0000 0.0000 0.0000
0.0000 0.0000 0.5000
0.0000 0.5000 0.5000
0.5000 0.0000 0.5000
0.5000 0.5000 0.0000
```

***

# 5
# La2ZrTiPd

La2ZrTiPd after structural relaxation (PBE-GGA, Alexandria).

Structure (POSCAR):
```
La2ZrTiPd
1.0
5.4401 0.0000 0.0000
0.0000 5.4401 0.0000
0.0000 0.0000 4.9161
La Zr Ti Pd
2 1 1 1
Direct
0.0000 0.5000 0.0000
0.5000 0.0000 0.0000
0.0000 0.0000 0.5000
0.0000 0.0000 0.0000
0.5000 0.5000 0.5000
```

***

# 6
# LaTl4Pd15

LaTl4Pd15 after structural relaxation (PBE-GGA, Alexandria).

Structure (POSCAR):
```
LaTl4Pd15
1.0
4.1441 0.0000 0.0000
0.0000 4.1441 0.0000
0.0000 0.0000 20.3163
La Tl Pd
1 4 15
Direct
0.0000 0.0000 0.0000
0.0000 0.0000 0.2059
0.0000 0.0000 0.4016
0.0000 0.0000 0.5984
0.0000 0.0000 0.7941
0.0000 0.5000 0.1059
0.0000 0.5000 0.3034
0.0000 0.5000 0.5000
0.0000 0.5000 0.6966
0.0000 0.5000 0.8941
0.5000 0.0000 0.1059
0.5000 0.0000 0.3034
0.5000 0.0000 0.5000
0.5000 0.0000 0.6966
0.5000 0.0000 0.8941
0.5000 0.5000 0.0000
0.5000 0.5000 0.2035
0.5000 0.5000 0.4017
0.5000 0.5000 0.5983
0.5000 0.5000 0.7965
```

***

# 7
# La8TlPd2

La8TlPd2 after structural relaxation (PBE-GGA, Alexandria).

Structure (POSCAR):
```
La8TlPd2
1.0
4.5813 -7.0991 0.0000
4.5813 7.0991 0.0000
-1.3973 0.0000 5.4135
La Tl Pd
8 1 2
Direct
0.1091 0.1091 0.8082
0.1947 0.4291 0.4324
0.2504 0.7496 0.0000
0.4291 0.1947 0.4324
0.5709 0.8053 0.5676
0.7496 0.2504 0.0000
0.8053 0.5709 0.5676
0.8909 0.8909 0.1918
0.5000 0.5000 0.0000
0.1874 0.8126 0.5000
0.8126 0.1874 0.5000
```

***

# 8
# La2TlPd

La2TlPd after structural relaxation (PBE-GGA, Alexandria).

Structure (POSCAR):
```
La2TlPd
1.0
3.7450 0.0000 0.0000
0.0000 3.7450 0.0000
0.0000 0.0000 8.0266
La Tl Pd
2 1 1
Direct
0.0000 0.0000 0.2201
0.0000 0.0000 0.7799
0.5000 0.5000 0.5000
0.5000 0.5000 0.0000
```

***

no.,E (eV/atom),V (Å³/f.u.)
1,-6.461,74.5
2,-5.845,470.7
3,-6.116,127.3
4,-4.030,147.8
5,-5.766,145.5
6,-4.921,348.9
7,-5.044,352.1
8,-4.941,112.6